# 1
Density functional theory data (GGA-PBE) for crystalline La2Pr13 at its relaxed geometry.

Calculated total energy   -4.659 eV/atom
Density   6.3 g/cm3
Energy of formation from the pure elements   0.140 eV per atom

abc: 7.308 7.308 12.792
angles: 73.40 73.40 60.00
Sites, in units of the cell vectors:
La 0.294 0.294 0.117
La 0.706 0.706 0.883
Pr 0.500 0.500 0.500
Pr 0.709 0.211 0.868
Pr 0.211 0.211 0.868
Pr 0.211 0.709 0.868
Pr 0.789 0.291 0.132
Pr 0.291 0.789 0.132
Pr 0.789 0.789 0.132
Pr 0.542 0.045 0.367
Pr 0.045 0.045 0.367
Pr 0.045 0.542 0.367
Pr 0.955 0.458 0.633
Pr 0.458 0.955 0.633
Pr 0.955 0.955 0.633

=====

# 2
Density functional theory data (GGA-PBE) for crystalline LaPr11 at its relaxed geometry.

Calculated total energy   -4.761 eV/atom
Density   6.4 g/cm3
Energy of formation from the pure elements   0.031 eV per atom

abc: 3.638 11.769 11.769
angles: 120.00 90.00 90.00
Sites, in units of the cell vectors:
La 0.000 0.000 0.000
Pr 0.000 0.500 0.000
Pr 0.000 0.000 0.500
Pr 0.000 0.500 0.500
Pr 0.500 0.174 0.347
Pr 0.500 0.347 0.174
Pr 0.500 0.826 0.174
Pr 0.500 0.174 0.826
Pr 0.500 0.653 0.826
Pr 0.500 0.826 0.653
Pr 0.000 0.667 0.333
Pr 0.000 0.333 0.667

=====

# 3
Density functional theory data (GGA-PBE) for crystalline La17Pr12 at its relaxed geometry.

Calculated total energy   -4.743 eV/atom
Density   6.4 g/cm3
Energy of formation from the pure elements   0.124 eV per atom

abc: 11.085 11.085 11.085
angles: 109.47 109.47 109.47
Sites, in units of the cell vectors:
La 0.000 0.417 0.683
La 0.000 0.683 0.417
La 0.266 0.583 0.583
La 0.734 0.317 0.317
La 0.683 0.417 0.000
La 0.417 0.683 0.000
La 0.317 0.317 0.734
La 0.583 0.583 0.266
La 0.317 0.734 0.317
La 0.583 0.266 0.583
La 0.417 0.000 0.683
La 0.683 0.000 0.417
La 0.000 0.637 0.000
La 0.000 0.000 0.637
La 0.363 0.363 0.363
La 0.637 0.000 0.000
La 0.000 0.000 0.000
Pr 0.000 0.377 0.188
Pr 0.000 0.188 0.377
Pr 0.812 0.623 0.623
Pr 0.188 0.812 0.812
Pr 0.188 0.377 0.000
Pr 0.377 0.188 0.000
Pr 0.812 0.812 0.188
Pr 0.623 0.623 0.812
Pr 0.812 0.188 0.812
Pr 0.623 0.812 0.623
Pr 0.377 0.000 0.188
Pr 0.188 0.000 0.377

=====

# 4
Density functional theory data (GGA-PBE) for crystalline La7Pr2 at its relaxed geometry.

Calculated total energy   -4.868 eV/atom
Density   6.3 g/cm3
Energy of formation from the pure elements   0.026 eV per atom

abc: 3.681 10.212 10.212
angles: 120.00 90.00 90.00
Sites, in units of the cell vectors:
La 0.500 0.647 0.000
La 0.500 0.000 0.647
La 0.500 0.353 0.353
La 0.000 0.314 0.000
La 0.000 0.000 0.314
La 0.000 0.686 0.686
La 0.500 0.000 0.000
Pr 0.000 0.667 0.333
Pr 0.000 0.333 0.667

=====

# 5
Density functional theory data (GGA-PBE) for crystalline La3Pr7 at its relaxed geometry.

Calculated total energy   -4.677 eV/atom
Density   6.4 g/cm3
Energy of formation from the pure elements   0.146 eV per atom

abc: 6.629 11.284 11.284
angles: 120.00 90.00 90.00
Sites, in units of the cell vectors:
La 0.863 0.211 0.422
La 0.863 0.211 0.789
La 0.863 0.578 0.789
La 0.363 0.789 0.578
La 0.363 0.789 0.211
La 0.363 0.422 0.211
Pr 0.976 0.667 0.333
Pr 0.476 0.333 0.667
Pr 0.882 0.884 0.767
Pr 0.882 0.884 0.116
Pr 0.882 0.233 0.116
Pr 0.382 0.116 0.233
Pr 0.382 0.116 0.884
Pr 0.382 0.767 0.884
Pr 0.233 0.473 0.946
Pr 0.233 0.473 0.527
Pr 0.233 0.054 0.527
Pr 0.733 0.527 0.054
Pr 0.733 0.527 0.473
Pr 0.733 0.946 0.473

=====

# 6
Density functional theory data (GGA-PBE) for crystalline La5Pr7 at its relaxed geometry.

Calculated total energy   -4.707 eV/atom
Density   6.3 g/cm3
Energy of formation from the pure elements   0.134 eV per atom

abc: 6.094 5.811 15.197
angles: 102.81 90.00 121.62
Sites, in units of the cell vectors:
La 0.128 0.255 0.437
La 0.872 0.745 0.563
La 0.374 0.747 0.201
La 0.626 0.253 0.799
La 0.000 0.000 0.000
Pr 0.249 0.497 0.672
Pr 0.751 0.503 0.328
Pr 0.035 0.070 0.215
Pr 0.965 0.930 0.785
Pr 0.678 0.355 0.084
Pr 0.500 0.000 0.500
Pr 0.322 0.645 0.916

=====

# 7
Density functional theory data (GGA-PBE) for crystalline La2Pr at its relaxed geometry.

Calculated total energy   -4.865 eV/atom
Density   6.3 g/cm3
Energy of formation from the pure elements   0.013 eV per atom

abc: 3.725 3.725 8.325
angles: 102.93 102.93 90.00
Sites, in units of the cell vectors:
La 0.667 0.667 0.334
La 0.333 0.333 0.666
Pr 0.000 0.000 0.000

=====

# 8
Density functional theory data (GGA-PBE) for crystalline La3Pr at its relaxed geometry.

Calculated total energy   -4.767 eV/atom
Density   6.2 g/cm3
Energy of formation from the pure elements   0.123 eV per atom

abc: 5.952 5.952 5.952
angles: 60.00 60.00 60.00
Each line ends with the local moment (μB).
Sites, in units of the cell vectors:
Pr 0.500 0.500 0.500  0.23
La 0.000 0.000 0.000  0.20
La 0.750 0.750 0.750  0.22
La 0.250 0.250 0.250  0.22

=====

# 9
Density functional theory data (GGA-PBE) for crystalline La3Pr at its relaxed geometry.

Calculated total energy   -4.890 eV/atom
Density   6.4 g/cm3
Energy of formation from the pure elements   0.000 eV per atom

abc: 5.254 5.254 5.254
angles: 90.00 90.00 90.00
Sites, in units of the cell vectors:
Pr 0.000 0.000 0.000
La 0.000 0.500 0.500
La 0.500 0.000 0.500
La 0.500 0.500 0.000

=====

# 10
Density functional theory data (GGA-PBE) for crystalline La13Pr3 at its relaxed geometry.

Calculated total energy   -4.895 eV/atom
Density   6.4 g/cm3
Energy of formation from the pure elements   0.005 eV per atom

abc: 7.420 7.420 10.553
angles: 90.00 90.00 90.02
Sites, in units of the cell vectors:
La 0.000 0.500 0.750
La 0.499 0.501 0.750
La 0.500 0.000 0.750
La 0.251 0.251 0.000
La 0.749 0.749 0.000
La 0.251 0.749 0.000
La 0.000 0.500 0.250
La 0.499 0.501 0.250
La 0.500 0.000 0.250
La 0.749 0.251 0.500
La 0.251 0.251 0.500
La 0.749 0.749 0.500
La 0.251 0.749 0.500
Pr 0.000 0.000 0.751
Pr 0.749 0.251 0.000
Pr 0.000 0.000 0.249

=====

# 11
Density functional theory data (GGA-PBE) for crystalline La7Pr6 at its relaxed geometry.

Calculated total energy   -4.694 eV/atom
Density   6.4 g/cm3
Energy of formation from the pure elements   0.166 eV per atom

abc: 6.799 6.799 12.377
angles: 74.06 74.06 60.00
Sites, in units of the cell vectors:
La 0.402 0.930 0.265
La 0.402 0.402 0.265
La 0.930 0.402 0.265
La 0.598 0.070 0.735
La 0.070 0.598 0.735
La 0.598 0.598 0.735
La 0.500 0.500 0.500
Pr 0.954 0.954 0.137
Pr 0.046 0.046 0.863
Pr 0.852 0.852 0.443
Pr 0.148 0.148 0.557
Pr 0.664 0.664 0.008
Pr 0.336 0.336 0.992

=====

# 12
Density functional theory data (GGA-PBE) for crystalline La3Pr5 at its relaxed geometry.

Calculated total energy   -4.826 eV/atom
Density   6.4 g/cm3
Energy of formation from the pure elements   0.009 eV per atom

abc: 5.293 7.419 7.419
angles: 90.16 90.00 90.00
Sites, in units of the cell vectors:
La 0.000 0.500 0.500
La 0.500 0.750 0.250
La 0.500 0.250 0.750
Pr 0.000 0.000 0.000
Pr 0.000 0.000 0.500
Pr 0.000 0.500 0.000
Pr 0.500 0.250 0.250
Pr 0.500 0.750 0.750

=====

Question: The highest energy of formation from the pure elements belongs to which entry?
Answer: La7Pr6

=====

Question: Which value of energy of formation from the pure elements does entry 8 give?
Answer: 0.123 eV per atom

=====

Question: What is the calculated total energy in the third record?
Answer: -4.743 eV/atom